Co3Au | Alexandria | PBE-GGA | optimized geometry; DFT formation energy = 222 meV per atom; space group = P-6m2
1.0
2.667 0.000 0.000
-1.333 2.309 0.000
0.000 0.000 8.467
Co Au
3 1
direct
0.000 0.000 0.500 Co
0.333 0.667 0.723 Co
0.333 0.667 0.277 Co
0.000 0.000 0.000 Au


SrIn2Rh | Alexandria | PBE-GGA | optimized geometry; DFT formation energy = -115 meV per atom; space group = P4/mmm
1.0
4.399 0.000 0.000
0.000 4.399 0.000
0.000 0.000 4.969
In Rh Sr
2 1 1
direct
0.000 0.000 0.000 In
0.500 0.500 0.000 In
0.500 0.000 0.500 Rh
0.000 0.500 0.500 Sr


NaLaMg2Ir | Alexandria | PBE-GGA | optimized geometry; DFT formation energy = -242 meV per atom; space group = P4/mmm
1.0
-4.311 -0.887 2.877
2.187 -4.376 1.929
2.112 2.837 4.040
Na La Mg Ir
1 1 2 1
direct
0.500 0.500 0.500 Na
0.000 0.000 0.500 La
0.500 0.000 0.000 Mg
0.000 0.500 0.000 Mg
0.000 0.000 0.000 Ir


no.,M_tot (μB/f.u.),final energy (eV for the cell shown)
1,4.93,-23.7
2,0.00,-15.0
3,0.00,-19.5